LiHoEr after structural relaxation. Source: Alexandria, functional PBE-GGA.

a = 5.9953 Å, b = 3.4612 Å, c = 29.6714 Å
α = 90.00°, β = 95.62°, γ = 90.00°
Space group C2/m (No. 12)
Asymmetric unit:
1 Li 0.1487 0.0000 0.4627 (multiplicity 4)
2 Ho 0.1895 0.5000 0.0499 (multiplicity 4)
3 Er 0.0685 0.0000 0.1441 (multiplicity 4)

Calculated values
DOS at the Fermi energy	18.33	states/eV per cell
VASP energy	-3.339	eV per atom
theoretical density	3.68	g/cm3

***

BaTc2Ag after structural relaxation. Source: Alexandria, functional PBE-GGA.

a = 4.0999 Å, b = 4.0999 Å, c = 10.1635 Å
α = 90.00°, β = 90.00°, γ = 90.00°
Space group I4/mmm (No. 139)
Asymmetric unit:
1 Ba 0.0000 0.0000 0.0000 (multiplicity 2)
2 Tc 0.0000 0.5000 0.2500 (multiplicity 4)
3 Ag 0.0000 0.0000 0.5000 (multiplicity 2)

Calculated values
DOS at the Fermi energy	11.30	states/eV per cell
VASP energy	-5.099	eV per atom
theoretical density	8.58	g/cm3

***

Sr2Ag3Sb4Pb after structural relaxation. Source: Alexandria, functional PBE-GGA.

a = 4.8535 Å, b = 4.8535 Å, c = 12.4099 Å
α = 90.00°, β = 90.00°, γ = 90.00°
Space group P-4m2 (No. 115)
Asymmetric unit:
1 Sr 0.0000 0.5000 0.2284 (multiplicity 2)
2 Ag 0.0000 0.5000 0.8748 (multiplicity 2)
3 Ag 0.5000 0.5000 0.5000 (multiplicity 1)
4 Sb 0.0000 0.0000 0.0000 (multiplicity 1)
5 Sb 0.0000 0.5000 0.6558 (multiplicity 2)
6 Sb 0.5000 0.5000 0.0000 (multiplicity 1)
7 Pb 0.0000 0.0000 0.5000 (multiplicity 1)

Calculated values
energy relative to the elements, uncorrected	-0.360	eV/atom
DOS at the Fermi energy	2.54	states/eV per cell
VASP energy	-3.572	eV per atom
theoretical density	6.78	g/cm3